1.
Density functional theory data (PBE) for a relaxed In3As crystal.

Values from the calculation:
Crystal system: tetragonal
Formation enthalpy at 0 K in eV/f.u.: 0.39
Uncorrected energy in eV/cell: -12.47
SG: I4/mmm
DOS(E_F) in states/eV per atom: 0.5136

Cell lengths 5.6498, 5.6498, 5.6498 Å; angles 130.57, 130.57, 72.50 degrees
With the nearest neighbours (Å) after each atom.
Atoms (fractional coordinates):
In: 0.2500 0.7500 0.5000  4 As 3.28, 8 In 3.28-3.34
In: 0.5000 0.5000 0.0000  8 In 3.28, 4 As 3.34
In: 0.7500 0.2500 0.5000  4 As 3.28, 8 In 3.28-3.34
As: 0.0000 0.0000 0.0000  12 In 3.28-3.34



2.
Density functional theory data (PBE) for a relaxed In3As crystal.

Values from the calculation:
Crystal system: tetragonal
Formation enthalpy at 0 K in eV/f.u.: 0.18
Uncorrected energy in eV/cell: -12.68
SG: P4/mmm
DOS(E_F) in states/eV per atom: 0.2370

Cell lengths 3.6771, 3.6771, 7.5502 Å; angles 90.00, 90.00, 90.00 degrees
With the nearest neighbours (Å) after each atom.
Atoms (fractional coordinates):
In: 0.5000 0.5000 0.2140  4 As 3.06, 5 In 3.23-3.38
In: 0.5000 0.5000 0.7860  4 As 3.06, 5 In 3.23-3.38
In: 0.0000 0.0000 0.5000  12 In 3.38-3.68, 2 As 3.78
As: 0.0000 0.0000 0.0000  8 In 3.06



3.
Density functional theory data (PBE) for a relaxed In3As crystal.

Values from the calculation:
Crystal system: cubic
Formation enthalpy at 0 K in eV/f.u.: 0.35
Uncorrected energy in eV/cell: -12.52
SG: Pm-3m
DOS(E_F) in states/eV per atom: 0.6016

Cell lengths 4.6810, 4.6810, 4.6810 Å; angles 90.00, 90.00, 90.00 degrees
With the nearest neighbours (Å) after each atom.
Atoms (fractional coordinates):
In: 0.5000 0.0000 0.5000  8 In 3.31, 4 As 3.31
In: 0.0000 0.5000 0.5000  8 In 3.31, 4 As 3.31
In: 0.5000 0.5000 0.0000  8 In 3.31, 4 As 3.31
As: 0.0000 0.0000 0.0000  12 In 3.31



4.
Density functional theory data (PBE) for a relaxed In7As6 crystal.

Values from the calculation:
Crystal system: trigonal
Formation enthalpy at 0 K in eV/f.u.: 2.22
Uncorrected energy in eV/cell: -44.85
SG: R-3m
DOS(E_F) in states/eV per atom: 0.3329

Cell lengths 9.2320, 9.2320, 9.2320 Å; angles 45.14, 45.14, 45.14 degrees
With the nearest neighbours (Å) after each atom.
Atoms (fractional coordinates):
As: 0.8258 0.8258 0.8258  1 As 2.33
As: 0.0805 0.0805 0.0805  1 As 2.33
As: 0.6730 0.6730 0.6730  6 In 2.76-2.94
As: 0.3270 0.3270 0.3270  6 In 2.76-2.94
As: 0.9195 0.9195 0.9195  1 As 2.33
As: 0.1742 0.1742 0.1742  1 As 2.33
In: 0.0834 0.5777 0.5777  3 As 2.76-2.94, 1 In 2.96
In: 0.4223 0.4223 0.9166  3 As 2.76-2.94, 1 In 2.96
In: 0.5777 0.5777 0.0834  3 As 2.76-2.94, 1 In 2.96
In: 0.5000 0.5000 0.5000  6 In 2.96
In: 0.9166 0.4223 0.4223  3 As 2.76-2.94, 1 In 2.96
In: 0.5777 0.0834 0.5777  3 As 2.76-2.94, 1 In 2.96
In: 0.4223 0.9166 0.4223  3 As 2.76-2.94, 1 In 2.96



5.
Density functional theory data (PBE) for a relaxed InAs crystal.

Values from the calculation:
Crystal system: orthorhombic
Formation enthalpy at 0 K in eV/f.u.: -0.06
Uncorrected energy in eV/cell: -119.22
SG: Fddd
DOS(E_F) in states/eV per atom: 0.0115

Cell lengths 11.7342, 12.0004, 8.9167 Å; angles 90.00, 90.00, 90.00 degrees
With the nearest neighbours (Å) after each atom.
Atoms (fractional coordinates):
As: 0.2500 0.5811 0.2500  4 In 2.67-2.73
As: 0.0000 0.1689 0.0000  4 In 2.67-2.73
As: 0.7500 0.4189 0.2500  4 In 2.67-2.73
As: 0.2500 0.9189 0.2500  4 In 2.67-2.73
As: 0.0000 0.6689 0.5000  4 In 2.67-2.73
As: 0.2500 0.0811 0.7500  4 In 2.67-2.73
As: 0.5000 0.8311 0.5000  4 In 2.67-2.73
As: 0.7500 0.9189 0.7500  4 In 2.67-2.73
As: 0.5000 0.3311 0.0000  4 In 2.67-2.73
As: 0.2500 0.4189 0.7500  4 In 2.67-2.73
As: 0.5000 0.6689 0.0000  4 In 2.67-2.73
As: 0.0000 0.3311 0.5000  4 In 2.67-2.73
As: 0.5000 0.1689 0.5000  4 In 2.67-2.73
As: 0.7500 0.5811 0.7500  4 In 2.67-2.73
As: 0.7500 0.0811 0.2500  4 In 2.67-2.73
As: 0.0000 0.8311 0.0000  4 In 2.67-2.73
In: 0.8445 0.0000 0.0000  4 As 2.67-2.73
In: 0.6555 0.0000 0.5000  4 As 2.67-2.73
In: 0.8445 0.5000 0.5000  4 As 2.67-2.73
In: 0.5945 0.2500 0.2500  4 As 2.67-2.73
In: 0.0945 0.2500 0.7500  4 As 2.67-2.73
In: 0.9055 0.2500 0.2500  4 As 2.67-2.73
In: 0.3445 0.5000 0.0000  4 As 2.67-2.73
In: 0.0945 0.7500 0.2500  4 As 2.67-2.73
In: 0.1555 0.5000 0.5000  4 As 2.67-2.73
In: 0.5945 0.7500 0.7500  4 As 2.67-2.73
In: 0.1555 0.0000 0.0000  4 As 2.67-2.73
In: 0.6555 0.5000 0.0000  4 As 2.67-2.73
In: 0.9055 0.7500 0.7500  4 As 2.67-2.73
In: 0.4055 0.2500 0.7500  4 As 2.67-2.73
In: 0.3445 0.0000 0.5000  4 As 2.67-2.73
In: 0.4055 0.7500 0.2500  4 As 2.67-2.73



6.
Density functional theory data (PBE) for a relaxed InAs crystal.

Values from the calculation:
Crystal system: monoclinic
Formation enthalpy at 0 K in eV/f.u.: 0.28
Uncorrected energy in eV/cell: -14.21
SG: P2_1/m
DOS(E_F) in states/eV per atom: 0.3759

Cell lengths 4.5945, 3.0133, 7.0135 Å; angles 91.02, 90.00, 90.00 degrees
With the nearest neighbours (Å) after each atom.
Atoms (fractional coordinates):
As: 0.5000 0.8974 0.7754  4 As 2.69-3.01
As: 0.0000 0.8526 0.9746  4 As 2.69-3.01
In: 0.0000 0.6256 0.5144  4 In 3.01-3.36, 3 As 3.04-3.29
In: 0.5000 0.1244 0.2356  4 In 3.01-3.36, 3 As 3.04-3.29



7.
Density functional theory data (PBE) for a relaxed InAs3 crystal.

Values from the calculation:
Crystal system: cubic
Formation enthalpy at 0 K in eV/f.u.: 1.47
Uncorrected energy in eV/cell: -15.22
SG: Pm-3m
DOS(E_F) in states/eV per atom: 0.6536

Cell lengths 4.3936, 4.3936, 4.3936 Å; angles 90.00, 90.00, 90.00 degrees
With the nearest neighbours (Å) after each atom.
Atoms (fractional coordinates):
As: 0.5000 0.0000 0.5000  8 As 3.11, 4 In 3.11
As: 0.0000 0.5000 0.5000  8 As 3.11, 4 In 3.11
As: 0.5000 0.5000 0.0000  8 As 3.11, 4 In 3.11
In: 0.0000 0.0000 0.0000  12 As 3.11



8.
Density functional theory data (PBE) for a relaxed InAs crystal.

Values from the calculation:
Crystal system: cubic
Formation enthalpy at 0 K in eV/f.u.: -0.26
Uncorrected energy in eV/cell: -61.19
SG: Pa-3
DOS(E_F) in states/eV per atom: 0.0283

Cell lengths 7.5516, 7.5516, 7.5516 Å; angles 90.00, 90.00, 90.00 degrees
With the nearest neighbours (Å) after each atom.
Atoms (fractional coordinates):
In: 0.1612 0.1612 0.1612  4 As 2.65-2.72
In: 0.3388 0.6612 0.1612  4 As 2.65-2.72
In: 0.8388 0.8388 0.8388  4 As 2.65-2.72
In: 0.8388 0.6612 0.3388  4 As 2.65-2.72
In: 0.1612 0.3388 0.6612  4 As 2.65-2.72
In: 0.3388 0.8388 0.6612  4 As 2.65-2.72
In: 0.6612 0.1612 0.3388  4 As 2.65-2.72
In: 0.6612 0.3388 0.8388  4 As 2.65-2.72
As: 0.8639 0.1361 0.6361  4 In 2.65-2.72
As: 0.3639 0.3639 0.3639  4 In 2.65-2.72
As: 0.6361 0.6361 0.6361  4 In 2.65-2.72
As: 0.6361 0.8639 0.1361  4 In 2.65-2.72
As: 0.3639 0.1361 0.8639  4 In 2.65-2.72
As: 0.1361 0.6361 0.8639  4 In 2.65-2.72
As: 0.1361 0.8639 0.3639  4 In 2.65-2.72
As: 0.8639 0.3639 0.1361  4 In 2.65-2.72



9.
Density functional theory data (PBE) for a relaxed InAs3 crystal.

Values from the calculation:
Crystal system: orthorhombic
Formation enthalpy at 0 K in eV/f.u.: 0.47
Uncorrected energy in eV/cell: -64.86
SG: Pnma
DOS(E_F) in states/eV per atom: 0.4692

Cell lengths 7.9535, 6.8617, 6.8422 Å; angles 90.00, 90.00, 90.00 degrees
With the nearest neighbours (Å) after each atom.
Atoms (fractional coordinates):
In: 0.3790 0.0767 0.2500  6 As 2.89-2.93
In: 0.8790 0.4233 0.7500  6 As 2.89-2.93
In: 0.6210 0.9233 0.7500  6 As 2.89-2.93
In: 0.1210 0.5767 0.2500  6 As 2.89-2.93
As: 0.1042 0.2220 0.4878  2 As 2.56-2.78
As: 0.3958 0.7220 0.4878  2 As 2.56-2.78
As: 0.8958 0.7780 0.5122  2 As 2.56-2.78
As: 0.1152 0.9136 0.7500  4 As 2.56-2.78
As: 0.6042 0.2780 0.5122  2 As 2.56-2.78
As: 0.1042 0.2220 0.0122  2 As 2.56-2.78
As: 0.3848 0.4136 0.7500  4 As 2.56-2.78
As: 0.8958 0.7780 0.9878  2 As 2.56-2.78
As: 0.6152 0.5864 0.2500  4 As 2.56-2.78
As: 0.8848 0.0864 0.2500  4 As 2.56-2.78
As: 0.3958 0.7220 0.0122  2 As 2.56-2.78
As: 0.6042 0.2780 0.9878  2 As 2.56-2.78



10.
Density functional theory data (PBE) for a relaxed In5As3 crystal.

Values from the calculation:
Crystal system: orthorhombic
Formation enthalpy at 0 K in eV/f.u.: 0.52
Uncorrected energy in eV/cell: -27.12
SG: Cmmm
DOS(E_F) in states/eV per atom: 0.3622

Cell lengths 6.8138, 6.8138, 4.8058 Å; angles 90.00, 90.00, 115.61 degrees
With the nearest neighbours (Å) after each atom.
Atoms (fractional coordinates):
As: 0.1874 0.8126 0.5000  8 In 2.94-3.23
As: 0.8126 0.1874 0.5000  8 In 2.94-3.23
As: 0.5000 0.5000 0.0000  4 In 2.91
In: 0.2743 0.2743 0.5000  4 As 2.91-2.94, 2 In 3.12
In: 0.0000 0.5000 0.0000  6 As 3.10-3.41, 2 In 3.41
In: 0.5000 0.0000 0.0000  6 As 3.10-3.41, 2 In 3.41
In: 0.0000 0.0000 0.0000  8 In 3.12-3.41, 4 As 3.23
In: 0.7257 0.7257 0.5000  4 As 2.91-2.94, 2 In 3.12



11.
Density functional theory data (PBE) for a relaxed In2As crystal.

Values from the calculation:
Crystal system: hexagonal
Formation enthalpy at 0 K in eV/f.u.: 0.09
Uncorrected energy in eV/cell: -30.10
SG: P-62m
DOS(E_F) in states/eV per atom: 0.4285

Cell lengths 7.7747, 7.7747, 4.4788 Å; angles 90.00, 90.00, 120.00 degrees
With the nearest neighbours (Å) after each atom.
Atoms (fractional coordinates):
In: 0.0000 0.2632 0.0000  4 As 2.90-3.03
In: 0.4130 0.4130 0.5000  5 As 3.21-3.24, 2 In 3.37
In: 0.2632 0.0000 0.0000  4 As 2.90-3.03
In: 0.7368 0.7368 0.0000  4 As 2.90-3.03
In: 0.5870 0.0000 0.5000  5 As 3.21-3.24, 2 In 3.37
In: 0.0000 0.5870 0.5000  5 As 3.21-3.24, 2 In 3.37
As: 0.3333 0.6667 0.0000  9 In 2.90-3.24
As: 0.6667 0.3333 0.0000  9 In 2.90-3.24
As: 0.0000 0.0000 0.5000  9 In 3.03-3.21



12.
Density functional theory data (PBE) for a relaxed InAs4 crystal.

Values from the calculation:
Crystal system: cubic
Formation enthalpy at 0 K in eV/f.u.: 2.91
Uncorrected energy in eV/cell: -18.42
SG: Im-3m
DOS(E_F) in states/eV per atom: 0.7153

Cell lengths 5.4866, 5.4866, 5.4866 Å; angles 109.47, 109.47, 109.47 degrees
With the nearest neighbours (Å) after each atom.
Atoms (fractional coordinates):
As: 0.0000 0.0000 0.5000  2 In 2.74
As: 0.5000 0.5000 0.5000  2 In 2.74
As: 0.5000 0.0000 0.0000  2 In 2.74
As: 0.0000 0.5000 0.0000  2 In 2.74
In: 0.0000 0.0000 0.0000  8 As 2.74



> The lowest uncorrected energy belongs to which entry?

number 5